No. 1
VASP calculation (GGA-PBE) on a relaxed Ac7Sn3N2 crystal.

Cell lengths 14.439, 14.439, 14.439 Å; angles 158.92, 158.92, 29.99 degrees
Atoms (fractional coordinates):
Ac: 0.000 0.000 0.000
Ac: 0.095 0.595 0.500
Ac: 0.197 0.197 0.000
Ac: 0.405 0.905 0.500
Ac: 0.595 0.095 0.500
Ac: 0.803 0.803 0.000
Ac: 0.905 0.405 0.500
Sn: 0.321 0.321 0.000
Sn: 0.500 0.500 0.000
Sn: 0.679 0.679 0.000
N: 0.101 0.101 0.000
N: 0.899 0.899 0.000

Summary:
Theoretical density (g/cm³): 8.416
Magnetization (μB per formula unit): 0.0
Formation energy without anion corrections (eV/atom): -0.781
Total DFT energy (no corrections) (eV per atom): -5.566
Symmetry: I4/mmm, No. 139

No. 2
VASP calculation (GGA-PBE) on a relaxed SmDy3Y3Se8 crystal.

Cell lengths 8.142, 8.142, 8.142 Å; angles 60.02, 60.02, 60.02 degrees
Atoms (fractional coordinates):
Sm: 0.000 0.000 0.000
Dy: 0.000 0.500 0.500
Dy: 0.500 0.000 0.500
Dy: 0.500 0.500 0.000
Y: 0.000 0.000 0.500
Y: 0.000 0.500 0.000
Y: 0.500 0.000 0.000
Se: 0.250 0.250 0.250
Se: 0.257 0.257 0.742
Se: 0.257 0.742 0.257
Se: 0.258 0.743 0.743
Se: 0.742 0.257 0.257
Se: 0.743 0.258 0.743
Se: 0.743 0.743 0.258
Se: 0.750 0.750 0.750

Summary:
Theoretical density (g/cm³): 6.681
Magnetization (μB per formula unit): 0.0
Formation energy without anion corrections (eV/atom): -1.839
Total DFT energy (no corrections) (eV per atom): -6.225
Symmetry: R-3m, No. 166